This record from Alexandria via LeMat-Bulk describes a relaxed HgSbIr2 crystal. The functional is GGA-PBE.

Properties
ΔE to the lowest computed polymorph, eV per atom: 0.000
Formation energy without anion corrections, eV/atom: 0.324

a = 3.098 Å, b = 3.098 Å, c = 7.456 Å
α = 90.00°, β = 90.00°, γ = 90.00°
Atoms (fractional coordinates):
Sb1 0.500 0.500 0.250
Ir1 0.000 0.000 0.475
Ir2 0.000 0.000 0.025
Hg1 0.500 0.500 0.750